# 1
Below is Y3TlGa after structural relaxation, with properties calculated at the PBE level.

As for the formation energy: -1.7 eV/f.u. As for the crystal system: orthorhombic. The uncorrected energy is -5.29 eV/atom. As for the energy above the most stable polymorph in this dataset: 0.00 eV per formula unit. The total moment comes out at 0.00 Bohr magnetons per cell.

It has space group Cmce (No. 64), with a = 9.947 Å, b = 11.745 Å, c = 9.364 Å, α = 90.00°, β = 90.00° and γ = 90.00°. The asymmetric unit holds Y at (0.000, 0.071, 0.160), Y at (0.179, 0.129, 0.570), Tl at (0.000, 0.198, 0.860) and Ga at (0.250, 0.160, 0.250).

# 2
Below is LiRuSeI after structural relaxation, with properties calculated at the PBE level.

As for the crystal system: monoclinic. The uncorrected energy is -4.26 eV/atom. The calculation puts the uncorrected formation energy at -0.2035 eV per atom. As for the energy above the most stable polymorph in this dataset: 0.69 eV per formula unit. The total moment comes out at 0.00 Bohr magnetons per cell.

It has space group Pm (No. 6), with a = 3.635 Å, b = 3.953 Å, c = 6.399 Å, α = 90.00°, β = 93.34° and γ = 90.00°. The asymmetric unit holds Li at (0.000, 0.000, 0.000), Ru at (0.013, 0.500, 0.324), Se at (0.484, 0.500, 0.074) and I at (0.780, 0.000, 0.557).

# 3
Below is PdCN2O after structural relaxation, with properties calculated at the PBE level.

As for the crystal system: tetragonal. The uncorrected energy is -5.18 eV/atom. The calculation puts the uncorrected formation energy at 2.0268 eV per atom. The total moment comes out at 0.00 Bohr magnetons per cell.

It has space group P4/mmm (No. 123), with a = 3.411 Å, b = 3.411 Å, c = 3.470 Å, α = 90.00°, β = 90.00° and γ = 90.00°. The asymmetric unit holds Pd at (0.000, 0.000, 0.000), C at (0.500, 0.500, 0.500), N at (0.000, 0.500, 0.500) and O at (0.500, 0.500, 0.000).

# 4
Below is IrRu2 after structural relaxation, with properties calculated at the PBE level.

As for the formation energy: 3.2 eV/f.u. As for the crystal system: trigonal. The uncorrected energy is -8.06 eV/atom. As for the energy above the most stable polymorph in this dataset: 3.39 eV per formula unit. The total moment comes out at 0.00 Bohr magnetons per cell.

It has space group P-3m1 (No. 164), with a = 3.5275 Å, b = 3.5275 Å, c = 4.5556 Å, α = 90.00°, β = 90.00° and γ = 120.00°. The asymmetric unit holds Ir at (0.0000, 0.0000, 0.0000) and Ru at (0.3333, 0.6667, 0.3454).

- What is the uncorrected energy in the third record?
  -5.18 eV/atom